# CuSiH

A relaxed structure of CuSiH (PBE-GGA, Alexandria via LeMat-Bulk).

Total DFT energy (no corrections), eV per cell: -24.53
DOS(E_F), states/eV per atom: 0.3836

Unit cell a=2.429 b=3.849 c=9.608 alpha=78.66 beta=83.20 gamma=89.97
Fractional coordinates of all 6 atoms:
1 Cu 0.212 0.209 0.084
2 Cu 0.788 0.791 0.916
3 Si 0.340 0.345 0.807
4 Si 0.660 0.655 0.193
5 H 0.500 0.097 0.501
6 H 0.500 0.903 0.499